# 1
Material: TcAsAuO
Method: DFT, PBE-GGA
State: optimized geometry

**Spin magnetization**: 0.000 μB/atom
**Space-group type**: P4/nmm, No. 129

```
TcAsAuO
1.0
-0.5560 4.2130 -1.5811
-1.0202 -1.6697 -4.0902
-5.2979 -0.1762 1.3933
Au As O Tc
2 2 2 2
direct
0.0000 0.5000 0.8370
0.5000 0.0000 0.1630
0.5000 0.0000 0.6892
0.0000 0.5000 0.3108
0.0000 0.0000 0.0000
0.5000 0.5000 0.0000
0.5000 0.5000 0.5000
0.0000 0.0000 0.5000
```

# 2
Material: TeAsAuO
Method: DFT, PBE-GGA
State: optimized geometry

**Space-group type**: P4/nmm, No. 129

```
TeAsAuO
1.0
-3.0918 -2.1721 0.7546
-0.7281 -0.2746 -3.7738
5.3884 -7.8328 -0.4696
O Au Te As
2 2 2 2
direct
0.2500 0.7500 0.0000
0.7500 0.2500 0.0000
0.2500 0.7500 0.5000
0.7500 0.2500 0.5000
0.7500 0.7500 0.8604
0.2500 0.2500 0.1396
0.2500 0.2500 0.7171
0.7500 0.7500 0.2829
```

# 3
Material: TeAsAuO
Method: DFT, PBE-GGA
State: optimized geometry

**Space-group type**: Pmc2_1, No. 26

```
TeAsAuO
1.0
3.8893 0.0000 0.0000
0.0000 5.7997 0.0000
0.0000 0.0000 7.6962
As Te O Au
2 2 2 2
direct
0.0000 0.2365 0.9157
0.0000 0.7635 0.4157
0.5000 0.4545 0.4788
0.5000 0.5455 0.9788
0.5000 0.3527 0.2343
0.5000 0.6473 0.7343
0.0000 0.9212 0.1253
0.0000 0.0788 0.6253
```

# 4
Material: TeAsAuO
Method: DFT, PBE-GGA
State: optimized geometry

**Space-group type**: P4/nmm, No. 129

```
TeAsAuO
1.0
4.7915 0.0000 0.0000
0.0000 4.7915 0.0000
0.0000 0.0000 7.6613
Au O Te As
2 2 2 2
direct
0.0000 0.5000 0.9826
0.5000 0.0000 0.0174
0.5000 0.5000 0.0000
0.0000 0.0000 0.0000
0.0000 0.0000 0.5000
0.5000 0.5000 0.5000
0.0000 0.5000 0.3130
0.5000 0.0000 0.6870
```

# 5
Material: TeAsAuO
Method: DFT, PBE-GGA
State: optimized geometry

**Space-group type**: P4/nmm, No. 129

```
TeAsAuO
1.0
3.8658 0.0000 0.0000
0.0000 3.8658 0.0000
0.0000 0.0000 9.8478
Au As O Te
2 2 2 2
direct
0.7500 0.2500 0.5000
0.2500 0.7500 0.5000
0.2500 0.2500 0.1081
0.7500 0.7500 0.8919
0.2500 0.7500 0.0000
0.7500 0.2500 0.0000
0.7500 0.7500 0.2739
0.2500 0.2500 0.7261
```

# 6
Material: TeAsAuO
Method: DFT, PBE-GGA
State: optimized geometry

**Space-group type**: P2_1/c, No. 14

```
TeAsAuO
1.0
-1.2478 0.6618 7.0151
-4.6276 -5.3432 -0.3191
5.2022 -4.5788 1.2281
As Au Te O
4 4 4 4
direct
0.5585 0.0205 0.6863
0.4415 0.9795 0.3137
0.5585 0.4795 0.1863
0.4415 0.5205 0.8137
0.9114 0.3349 0.0415
0.0886 0.8349 0.4585
0.0886 0.6651 0.9585
0.9114 0.1651 0.5415
0.1845 0.5011 0.3105
0.8155 0.4989 0.6895
0.1845 0.9989 0.8105
0.8155 0.0011 0.1895
0.4605 0.1724 0.4917
0.5395 0.8276 0.5083
0.5395 0.6724 0.0083
0.4605 0.3276 0.9917
```

# 7
Material: TeAsAuO
Method: DFT, PBE-GGA
State: optimized geometry

**Space-group type**: Pmc2_1, No. 26

```
TeAsAuO
1.0
3.9545 0.0000 0.0000
0.0000 8.5977 0.0000
0.0000 0.0000 5.5926
Au O Te As
2 2 2 2
direct
0.0000 0.6797 0.8097
0.0000 0.3203 0.3097
0.5000 0.0007 0.5613
0.5000 0.9993 0.0613
0.0000 0.3666 0.8097
0.0000 0.6334 0.3097
0.5000 0.8679 0.8103
0.5000 0.1321 0.3103
```

# 8
Material: TeAsAuO
Method: DFT, PBE-GGA
State: optimized geometry

**Space-group type**: Pmc2_1, No. 26

```
TeAsAuO
1.0
4.3787 0.0000 0.0000
0.0000 6.1759 0.0000
0.0000 0.0000 6.0898
O Te As Au
2 2 2 2
direct
0.5000 0.2167 0.9288
0.5000 0.7833 0.4288
0.0000 0.2554 0.9460
0.0000 0.7446 0.4460
0.0000 0.3137 0.3833
0.0000 0.6863 0.8833
0.5000 0.1869 0.4958
0.5000 0.8131 0.9958
```

# 9
Material: TmAsAuO
Method: DFT, PBE-GGA
State: optimized geometry

**Spin magnetization**: 0.001 μB/atom
**Space-group type**: P4/nmm, No. 129

```
TmAsAuO
1.0
3.9629 0.0000 0.0000
0.0000 3.9629 0.0000
0.0000 0.0000 9.0832
Au O Tm As
2 2 2 2
direct
0.0000 0.0000 0.5000
0.5000 0.5000 0.5000
0.0000 0.0000 0.0000
0.5000 0.5000 0.0000
0.0000 0.5000 0.8868
0.5000 0.0000 0.1132
0.5000 0.0000 0.7021
0.0000 0.5000 0.2979
```

# 10
Material: TmAsAuO
Method: DFT, PBE-GGA
State: optimized geometry

**Spin magnetization**: 0.000 μB/atom
**Space-group type**: Pmc2_1, No. 26

```
TmAsAuO
1.0
5.6053 0.0000 0.0000
0.0000 4.1858 0.0000
0.0000 0.0000 6.1633
O Au As Tm
2 2 2 2
direct
0.5000 0.2994 0.4545
0.5000 0.7006 0.9545
0.0000 0.4993 0.4689
0.0000 0.5007 0.9689
0.0000 0.9966 0.2188
0.0000 0.0034 0.7188
0.5000 0.7764 0.6118
0.5000 0.2236 0.1118
```

# 11
Material: TmAsAuO
Method: DFT, PBE-GGA
State: optimized geometry

**Spin magnetization**: 0.000 μB/atom
**Space-group type**: Pmc2_1, No. 26

```
TmAsAuO
1.0
3.7642 0.0000 0.0000
0.0000 7.5636 0.0000
0.0000 0.0000 6.0532
As Au Tm O
2 2 2 2
direct
0.0000 0.3406 0.4197
0.0000 0.6594 0.9197
0.5000 0.1298 0.4633
0.5000 0.8702 0.9633
0.0000 0.2782 0.9153
0.0000 0.7218 0.4153
0.5000 0.8332 0.4557
0.5000 0.1668 0.9557
```

# 12
Material: TmAsAuO
Method: DFT, PBE-GGA
State: optimized geometry

**Spin magnetization**: 0.000 μB/atom
**Space-group type**: P4/mmm, No. 123

```
TmAsAuO
1.0
-3.7369 1.7233 3.9862
-2.2198 -5.2779 0.2008
3.0661 -1.1610 3.3762
As Tm Au O
2 2 2 2
direct
0.7500 0.7500 0.5004
0.2500 0.2500 0.4996
0.7500 0.2500 0.5000
0.2500 0.7500 0.5000
0.7500 0.7500 0.0004
0.2500 0.2500 0.9996
0.7500 0.2500 0.0000
0.2500 0.7500 0.0000
```

no.,energy (eV/atom),distance to the lowest polymorph of the same formula (eV/f.u.)
1,-5.599,2.211
2,-4.003,1.353
3,-4.179,0.648
4,-3.572,3.077
5,-4.157,0.735
6,-4.341,0.000
7,-4.325,0.063
8,-4.024,1.269
9,-5.940,0.000
10,-5.746,0.774
11,-5.581,1.434
12,-5.236,2.816